(1)
Material: CaMg6Fe
Method: DFT, PBE
State: optimized geometry

Values from the calculation:
The value obtained for the total energy is -18.6 eV/cell. For the energy above the most stable polymorph in this dataset, the calculation gives 4 meV per atom. The formation energy from the elements is 1.4 eV/f.u. The space group is Amm2 (38). The value obtained for the spin magnetization is 2.78 μB/f.u.

Unit cell a=6.5518 b=6.5518 c=5.0539 alpha=90.00 beta=90.00 gamma=122.48
With the nearest neighbours (Å) after each atom.
Positions (direct):
Ca 0.1782 0.8218 0.0000  10 Mg 3.17-3.29, 2 Fe 3.18
Mg 0.6775 0.8234 0.0000  1 Fe 2.93, 8 Mg 3.10-3.25, 2 Ca 3.27-3.29
Mg 0.1766 0.3225 0.0000  1 Fe 2.93, 8 Mg 3.10-3.25, 2 Ca 3.27-3.29
Mg 0.8199 0.6536 0.5000  6 Mg 2.99-3.32, 2 Fe 3.01, 2 Ca 3.21
Mg 0.3464 0.1801 0.5000  6 Mg 2.99-3.32, 2 Fe 3.01, 2 Ca 3.21
Mg 0.3454 0.6546 0.5000  10 Mg 3.11-3.44, 2 Ca 3.17
Mg 0.8136 0.1864 0.5000  8 Mg 3.04-3.25, 2 Fe 3.20
Fe 0.6424 0.3576 0.0000  8 Mg 2.93-3.20, 2 Ca 3.18



(2)
Material: CaMg2Fe
Method: DFT, PBE
State: optimized geometry

Values from the calculation:
The value obtained for the total energy is -12.6 eV/cell. The formation energy from the elements is 1.0 eV/f.u. The space group is P4mm (99). The value obtained for the spin magnetization is 2.28 μB/f.u.

Unit cell a=3.3020 b=3.3020 c=8.2127 alpha=90.00 beta=90.00 gamma=90.01
With the nearest neighbours (Å) after each atom.
Positions (direct):
Ca 0.0000 0.0000 0.5398  4 Fe 3.07, 4 Ca 3.30
Fe 0.5000 0.5000 0.7834  4 Mg 2.75, 4 Ca 3.07
Mg 0.0000 0.0000 0.9600  4 Fe 2.75
Mg 0.5000 0.5000 0.2169  8 Mg 3.15-3.30